Below is CsCu2Rh2 after structural relaxation, with properties calculated at the PBE level.

a b c (Å): 6.058 6.058 6.058
angles (deg): 137.71 137.71 61.35
Fractional coordinates of all 5 atoms:
Cs1 0.000 0.000 0.000
Cu1 0.250 0.750 0.500
Cu2 0.750 0.250 0.500
Rh1 0.374 0.374 0.000
Rh2 0.626 0.626 0.000

## Properties
energy of formation from the pure elements	0.66	eV per atom
symmetry	I4/mmm (139)

---

Below is Rb2MgTl3Br6 after structural relaxation, with properties calculated at the PBE level.

a b c (Å): 8.311 8.311 8.794
angles (deg): 99.15 99.15 124.26
Fractional coordinates of all 12 atoms:
Rb1 0.177 0.823 0.000
Rb2 0.823 0.177 0.000
Mg1 0.500 0.500 0.000
Tl1 0.000 0.000 0.500
Tl2 0.378 0.622 0.500
Tl3 0.622 0.378 0.500
Br1 0.160 0.425 0.792
Br2 0.275 0.275 0.173
Br3 0.425 0.160 0.792
Br4 0.575 0.840 0.208
Br5 0.725 0.725 0.827
Br6 0.840 0.575 0.208

## Properties
raw formation energy	-1125	meV/atom
symmetry	C2/m (12)

---

no.,VASP energy (eV per atom)
1,-4.09
2,-2.85